1.
Here is a relaxed GaIrAu crystal from the Open Quantum Materials Database. Energies are from PBE.

Computed properties:
Raw total energy in eV/f.u.: -14.873
M_tot in μB/f.u.: 0.00

```
data_GaIrAu
_chemical_formula_sum 'Ga1 Ir1 Au1'
_cell_length_a 4.307
_cell_length_b 4.307
_cell_length_c 4.307
_cell_angle_alpha 60.00
_cell_angle_beta 60.00
_cell_angle_gamma 60.00
_symmetry_space_group_name_H-M 'P 1'
_symmetry_Int_Tables_number 1
loop_
_symmetry_equiv_pos_as_xyz
'x,y,z'
loop_
_atom_site_label
_atom_site_type_symbol
_atom_site_fract_x
_atom_site_fract_y
_atom_site_fract_z
Ir1 Ir 0.000 0.000 0.000
Au1 Au 0.250 0.250 0.250
Ga1 Ga 0.750 0.750 0.750
```

=====

2.
Here is a relaxed LaGa2IrAu crystal from the Open Quantum Materials Database. Energies are from PBE.

Computed properties:
Raw total energy in eV/f.u.: -26.632
M_tot in μB/f.u.: 0.01

```
data_LaGa2IrAu
_chemical_formula_sum 'La2 Ga4 Ir2 Au2'
_cell_length_a 4.380
_cell_length_b 4.380
_cell_length_c 10.606
_cell_angle_alpha 90.00
_cell_angle_beta 90.00
_cell_angle_gamma 90.00
_symmetry_space_group_name_H-M 'P 1'
_symmetry_Int_Tables_number 1
loop_
_symmetry_equiv_pos_as_xyz
'x,y,z'
loop_
_atom_site_label
_atom_site_type_symbol
_atom_site_fract_x
_atom_site_fract_y
_atom_site_fract_z
Ga1 Ga 0.500 0.500 0.500
Ga2 Ga 0.500 0.000 0.141
Au1 Au 0.000 0.000 0.000
Ga3 Ga 0.000 0.000 0.500
Ir1 Ir 0.000 0.500 0.626
La1 La 0.000 0.500 0.264
Au2 Au 0.500 0.500 0.000
La2 La 0.500 0.000 0.736
Ir2 Ir 0.500 0.000 0.374
Ga4 Ga 0.000 0.500 0.859
```

=====

3.
Here is a relaxed Li2Mg2Ga2IrAu crystal from the Open Quantum Materials Database. Energies are from PBE.

Computed properties:
Raw total energy in eV/f.u.: -28.993
M_tot in μB/f.u.: 0.00

```
data_Li2Mg2Ga2IrAu
_chemical_formula_sum 'Li2 Mg2 Ga2 Ir1 Au1'
_cell_length_a 4.425
_cell_length_b 4.425
_cell_length_c 6.335
_cell_angle_alpha 90.00
_cell_angle_beta 90.00
_cell_angle_gamma 90.00
_symmetry_space_group_name_H-M 'P 1'
_symmetry_Int_Tables_number 1
loop_
_symmetry_equiv_pos_as_xyz
'x,y,z'
loop_
_atom_site_label
_atom_site_type_symbol
_atom_site_fract_x
_atom_site_fract_y
_atom_site_fract_z
Ga1 Ga 0.500 0.000 0.726
Li1 Li 0.000 0.000 0.500
Li2 Li 0.500 0.500 0.000
Ir1 Ir 0.500 0.500 0.500
Au1 Au 0.000 0.000 0.000
Ga2 Ga 0.000 0.500 0.274
Mg1 Mg 0.500 0.000 0.256
Mg2 Mg 0.000 0.500 0.744
```

=====

4.
Here is a relaxed Na2Mg2Ga2IrAu crystal from the Open Quantum Materials Database. Energies are from PBE.

Computed properties:
Raw total energy in eV/f.u.: -25.727
M_tot in μB/f.u.: 0.00

```
data_Na2Mg2Ga2IrAu
_chemical_formula_sum 'Na2 Mg2 Ga2 Ir1 Au1'
_cell_length_a 4.604
_cell_length_b 4.604
_cell_length_c 6.619
_cell_angle_alpha 90.00
_cell_angle_beta 90.00
_cell_angle_gamma 90.00
_symmetry_space_group_name_H-M 'P 1'
_symmetry_Int_Tables_number 1
loop_
_symmetry_equiv_pos_as_xyz
'x,y,z'
loop_
_atom_site_label
_atom_site_type_symbol
_atom_site_fract_x
_atom_site_fract_y
_atom_site_fract_z
Na1 Na 0.000 0.000 0.500
Mg1 Mg 0.500 0.000 0.259
Au1 Au 0.000 0.000 0.000
Mg2 Mg 0.000 0.500 0.741
Ga1 Ga 0.500 0.000 0.723
Ga2 Ga 0.000 0.500 0.277
Ir1 Ir 0.500 0.500 0.500
Na2 Na 0.500 0.500 0.000
```

=====

Question: What is the formula in the second record?
Answer: LaGa2IrAu